# TaFeSe2

An optimized crystal structure of TaFeSe2 (PBE, the Alexandria database).

The space group is R-3m (No. 166, hexagonal axes) and the conventional cell measures 3.3143, 3.3143 and 24.8427 Å, with angles of 90.00, 90.00 and 120.00 degrees. The asymmetric unit holds Ta at (0.0000, 0.0000, 0.0000), Fe at (0.0000, 0.0000, 0.5000) and Se at (0.0000, 0.0000, 0.4046).

The calculation puts the polymorph energy (0 for the lowest one) at 1.71 eV per formula unit. The calculation puts the total DFT energy (no corrections) at -6.921 eV per atom. The calculation puts the raw formation energy at -99 meV per atom. As for the size of the total moment: 2.77 μB per formula unit.